## NpCrInO6 (PBE+U)

Data for a geometry-optimized NpCrInO6 structure.

Lattice parameters (Å, degrees): 5.382 5.382 8.963 90.00 90.00 120.00
Fractional coordinates of all 18 atoms:
1 Np 0.333 0.667 0.250
2 Np 0.667 0.333 0.750
3 Cr 0.000 0.000 0.000
4 Cr 0.000 0.000 0.500
5 In 0.333 0.667 0.750
6 In 0.667 0.333 0.250
7 O 0.017 0.332 0.124
8 O 0.017 0.686 0.376
9 O 0.314 0.332 0.376
10 O 0.314 0.983 0.124
11 O 0.332 0.017 0.624
12 O 0.332 0.314 0.876
13 O 0.668 0.686 0.124
14 O 0.668 0.983 0.376
15 O 0.686 0.017 0.876
16 O 0.686 0.668 0.624
17 O 0.983 0.314 0.624
18 O 0.983 0.668 0.876

Output
DFT total energy = -142.8 eV for the cell shown